Record 1
Compound: Sb2IrCl
Source: Alexandria via LeMat-Bulk
Functional: PBE
Structure: optimized geometry

Values from the calculation:
uncorrected formation energy	-117	meV per atom
Fermi-level density of states	3.01	states/eV per cell
uncorrected energy	-4.8553	eV per atom

Cell: 3.332 3.332 7.894 Å, 90.00 90.00 90.00°
Space group P4/mmm (No. 123)
Unique sites:
Sb 0.000 0.000 0.208 [2 per cell]
Ir 0.500 0.500 0.000 [1 per cell]
Cl 0.500 0.500 0.500 [1 per cell]

Record 2
Compound: SbIrCl2
Source: Alexandria via LeMat-Bulk
Functional: PBE
Structure: optimized geometry

Values from the calculation:
uncorrected formation energy	131	meV per atom
Fermi-level density of states	4.74	states/eV per cell
uncorrected energy	-4.0380	eV per atom

Cell: 4.221 5.039 8.778 Å, 90.00 90.00 90.00°
Space group Cmm2 (No. 35)
Unique sites:
Sb 0.000 0.000 0.000 [2 per cell]
Ir 0.000 0.500 0.821 [2 per cell]
Cl 0.000 0.000 0.635 [2 per cell]
Cl 0.000 0.500 0.229 [2 per cell]

Record 3
Compound: Sb2IrCl
Source: Alexandria via LeMat-Bulk
Functional: PBE
Structure: optimized geometry

Values from the calculation:
uncorrected formation energy	-62	meV per atom
Fermi-level density of states	4.68	states/eV per cell
uncorrected energy	-4.7998	eV per atom

Cell: 3.435 3.991 15.520 Å, 90.00 90.00 90.00°
Space group Imm2 (No. 44)
Unique sites:
Sb 0.000 0.000 0.000 [2 per cell]
Sb 0.000 0.500 0.185 [2 per cell]
Ir 0.000 0.000 0.557 [2 per cell]
Cl 0.000 0.500 0.783 [2 per cell]

Record 4
Compound: SbIrCl2
Source: Alexandria via LeMat-Bulk
Functional: PBE
Structure: optimized geometry

Values from the calculation:
uncorrected formation energy	-185	meV per atom
uncorrected energy	-4.3545	eV per atom

Cell: 4.582 3.806 6.117 Å, 90.00 104.94 90.00°
Space group Pm (No. 6)
Unique sites:
Sb 0.000 0.000 0.000 [1 per cell]
Ir 0.833 0.500 0.717 [1 per cell]
Cl 0.305 0.500 0.614 [1 per cell]
Cl 0.680 0.000 0.287 [1 per cell]

Record 5
Compound: SbIr2Cl
Source: Alexandria via LeMat-Bulk
Functional: PBE
Structure: optimized geometry

Values from the calculation:
uncorrected formation energy	468	meV per atom
Fermi-level density of states	6.13	states/eV per cell
uncorrected energy	-5.4549	eV per atom

Cell: 2.914 4.219 11.808 Å, 90.00 90.00 90.00°
Space group Imm2 (No. 44)
Unique sites:
Sb 0.000 0.000 0.000 [2 per cell]
Ir 0.000 0.000 0.408 [2 per cell]
Ir 0.000 0.500 0.704 [2 per cell]
Cl 0.000 0.500 0.210 [2 per cell]

Record 6
Compound: Sb2IrCl
Source: Alexandria via LeMat-Bulk
Functional: PBE
Structure: optimized geometry

Values from the calculation:
uncorrected formation energy	454	meV per atom
Fermi-level density of states	3.47	states/eV per cell
uncorrected energy	-4.2846	eV per atom

Cell: 3.137 4.473 6.607 Å, 90.00 90.00 90.00°
Space group Pmmm (No. 47)
Unique sites:
Sb 0.000 0.000 0.000 [1 per cell]
Sb 0.500 0.000 0.500 [1 per cell]
Ir 0.000 0.500 0.500 [1 per cell]
Cl 0.500 0.500 0.000 [1 per cell]

Record 7
Compound: SbIrCl2
Source: Alexandria via LeMat-Bulk
Functional: PBE
Structure: optimized geometry

Values from the calculation:
uncorrected formation energy	226	meV per atom
Fermi-level density of states	11.16	states/eV per cell
uncorrected energy	-3.9436	eV per atom

Cell: 9.964 9.964 5.008 Å, 90.00 90.00 90.00°
Space group I-42d (No. 122)
Unique sites:
Sb 0.000 0.000 0.000 [4 per cell]
Ir 0.000 0.000 0.500 [4 per cell]
Cl 0.002 0.250 0.625 [8 per cell]

Record 8
Compound: Sb2IrCl
Source: Alexandria via LeMat-Bulk
Functional: PBE
Structure: optimized geometry

Values from the calculation:
uncorrected formation energy	313	meV per atom
Fermi-level density of states	3.05	states/eV per cell
uncorrected energy	-4.4247	eV per atom

Cell: 5.151 5.151 3.106 Å, 90.00 90.00 90.00°
Space group P4/mmm (No. 123)
Unique sites:
Sb 0.000 0.500 0.000 [2 per cell]
Ir 0.000 0.000 0.500 [1 per cell]
Cl 0.500 0.500 0.500 [1 per cell]

Record 9
Compound: SbIr2Cl
Source: Alexandria via LeMat-Bulk
Functional: PBE
Structure: optimized geometry

Values from the calculation:
uncorrected formation energy	285	meV per atom
Fermi-level density of states	5.15	states/eV per cell
uncorrected energy	-5.6377	eV per atom

Cell: 14.520 3.106 3.524 Å, 90.00 90.05 90.00°
Space group Cm (No. 8)
Unique sites:
Sb 0.000 0.000 0.000 [2 per cell]
Ir 0.097 0.500 0.501 [2 per cell]
Ir 0.406 0.000 0.500 [2 per cell]
Cl 0.244 0.000 0.496 [2 per cell]

Record 10
Compound: Sb2IrCl
Source: Alexandria via LeMat-Bulk
Functional: PBE
Structure: optimized geometry

Values from the calculation:
uncorrected formation energy	14	meV per atom
Fermi-level density of states	3.30	states/eV per cell
uncorrected energy	-4.7239	eV per atom

Cell: 3.404 3.404 9.308 Å, 90.00 90.00 90.00°
Space group P4mm (No. 99)
Unique sites:
Sb 0.000 0.000 0.000 [1 per cell]
Sb 0.500 0.500 0.396 [1 per cell]
Ir 0.500 0.500 0.114 [1 per cell]
Cl 0.000 0.000 0.743 [1 per cell]

Record 11
Compound: SbIrCl2
Source: Alexandria via LeMat-Bulk
Functional: PBE
Structure: optimized geometry

Values from the calculation:
uncorrected formation energy	-415	meV per atom
Fermi-level density of states	0.00	states/eV per cell
uncorrected energy	-4.5844	eV per atom

Cell: 6.795 3.924 8.471 Å, 90.00 94.18 90.00°
Space group Cm (No. 8)
Unique sites:
Sb 0.000 0.000 0.000 [2 per cell]
Ir 0.154 0.500 0.864 [2 per cell]
Cl 0.026 0.000 0.278 [2 per cell]
Cl 0.306 0.000 0.699 [2 per cell]

Record 12
Compound: SbIr3Cl
Source: Alexandria via LeMat-Bulk
Functional: PBE
Structure: optimized geometry

Values from the calculation:
uncorrected formation energy	1442	meV per atom
Fermi-level density of states	7.56	states/eV per cell
uncorrected energy	-5.0685	eV per atom

Cell: 4.525 4.525 4.525 Å, 90.00 90.00 90.00°
Space group Pm-3m (No. 221)
Unique sites:
Sb 0.000 0.000 0.000 [1 per cell]
Ir 0.000 0.500 0.500 [3 per cell]
Cl 0.500 0.500 0.500 [1 per cell]

Record 13
Compound: Sb4IrCl
Source: Alexandria via LeMat-Bulk
Functional: PBE
Structure: optimized geometry

Values from the calculation:
uncorrected formation energy	830	meV per atom
Fermi-level density of states	17.89	states/eV per cell
uncorrected energy	-3.7031	eV per atom

Cell: 8.554 8.554 8.554 Å, 90.00 90.00 90.00°
Space group F-43m (No. 216)
Unique sites:
Sb 0.124 0.124 0.124 [16 per cell]
Ir 0.000 0.000 0.500 [4 per cell]
Cl 0.250 0.250 0.750 [4 per cell]

Record 14
Compound: SbIr2Cl
Source: Alexandria via LeMat-Bulk
Functional: PBE
Structure: optimized geometry

Values from the calculation:
uncorrected formation energy	129	meV per atom
Fermi-level density of states	2.71	states/eV per cell
uncorrected energy	-5.7933	eV per atom

Cell: 2.883 3.600 8.331 Å, 90.00 91.58 90.00°
Space group Pm (No. 6)
Unique sites:
Sb 0.000 0.000 0.000 [1 per cell]
Ir 0.469 0.000 0.607 [1 per cell]
Ir 0.982 0.500 0.769 [1 per cell]
Cl 0.454 0.500 0.415 [1 per cell]

Record 15
Compound: SbIr2Cl
Source: Alexandria via LeMat-Bulk
Functional: PBE
Structure: optimized geometry

Values from the calculation:
uncorrected formation energy	558	meV per atom
Fermi-level density of states	3.08	states/eV per cell
uncorrected energy	-5.3651	eV per atom

Cell: 3.247 3.247 6.975 Å, 90.00 90.00 90.00°
Space group P4/mmm (No. 123)
Unique sites:
Sb 0.000 0.000 0.000 [1 per cell]
Ir 0.500 0.500 0.205 [2 per cell]
Cl 0.000 0.000 0.500 [1 per cell]